{"formula": "HgMo2Ir", "functional": "PBE", "state": "relaxed", "lattice": [[5.0283, -0.0028, 0.0038], [4.1370, 2.8580, 0.0038], [0.9292, 0.2895, 4.6582]], "species": ["Hg", "Ir", "Mo", "Mo"], "fractional_positions": [[0.7500, 0.7500, 0.7500], [0.2500, 0.2500, 0.2500], [0.9917, 0.9917, 0.0362], [0.5083, 0.5083, 0.4638]], "energy_ev_per_atom": -7.345, "ef_ev_per_atom": 0.361, "space_group": "C2/m, No. 12"}